First-principles (GGA+U) data for a geometry-optimized Li7Mn2Co3O12 structure, as listed in Alexandria via LeMat-Bulk.

Summary:
- Fermi-level density of states: 3.2 states/eV/f.u.
- Excess energy over the best structure of this formula in the dataset: 30.3 meV per atom
- Total moment: 1.0 μB/f.u.
- Raw total energy: -5.87 eV/atom

Cell: 2.862 4.989 14.694 Å, 80.64 84.61 89.62°
Space group P1 (No. 1)
Inequivalent atoms, fractional coordinates:
Li  0.000  0.000  0.000 x1
Li  0.078  0.428  0.836 x1
Li  0.159  0.844  0.675 x1
Li  0.343  0.680  0.323 x1
Li  0.501  0.489  0.994 x1
Li  0.646  0.361  0.688 x1
Li  0.846  0.174  0.321 x1
Mn  0.247  0.263  0.498 x1
Mn  0.579  0.927  0.835 x1
Co  0.418  0.086  0.166 x1
Co  0.749  0.763  0.497 x1
Co  0.918  0.585  0.166 x1
O  0.046  0.735  0.909 x1
O  0.114  0.122  0.760 x1
O  0.218  0.569  0.569 x1
O  0.280  0.958  0.424 x1
O  0.385  0.383  0.239 x1
O  0.450  0.784  0.097 x1
O  0.539  0.191  0.915 x1
O  0.621  0.662  0.755 x1
O  0.690  0.054  0.570 x1
O  0.808  0.472  0.422 x1
O  0.884  0.885  0.238 x1
O  0.950  0.287  0.096 x1